DFT (PBE) results for an optimized crystal structure of LiBeTl.

It has space group F-43m (No. 216), with a = 6.1235 Å, b = 6.1235 Å, c = 6.1235 Å, α = 90.00°, β = 90.00° and γ = 90.00°. The distinct sites, in fractional coordinates, are Li at (0.0000, 0.0000, 0.0000), Be at (0.0000, 0.0000, 0.5000) and Tl at (0.2500, 0.2500, 0.2500).

The energy relative to the lowest polymorph listed for this composition is 194 meV/atom. Its total energy is -27.02 eV per cell. The value obtained for the formation energy is 417 meV/atom.